# 1
Below is AcLuRe after structural relaxation, with properties calculated at the PBE-GGA level.

a = 4.9389 Å, b = 4.9389 Å, c = 4.9389 Å
α = 60.00°, β = 60.00°, γ = 60.00°
Sites, in units of the cell vectors:
Ac (0.2500, 0.2500, 0.2500)
Lu (0.7500, 0.7500, 0.7500)
Re (0.0000, 0.0000, 0.0000)

Calculated values
electronic total energy: -6.618 eV/atom
symmetry: No. 216
magnetization: 0.0 Bohr magnetons per cell

# 2
Below is Sr2PaO4 after structural relaxation, with properties calculated at the PBE-GGA level.

a = 6.1514 Å, b = 10.4299 Å, c = 3.6422 Å
α = 90.00°, β = 90.00°, γ = 90.00°
Last column: magnetic moment on the atom in μB.
Sites, in units of the cell vectors:
O (0.8510, 0.1985, 0.0000)  -0.01
O (0.3509, 0.3015, 0.0000)  -0.01
O (0.6490, 0.6985, 0.0000)  -0.01
O (0.1490, 0.8015, 0.0000)  -0.01
O (0.2301, 0.0427, 0.5000)  -0.02
O (0.7301, 0.4573, 0.5000)  -0.02
O (0.2699, 0.5427, 0.5000)  -0.02
O (0.7699, 0.9573, 0.5000)  -0.02
Pa (0.0000, 0.0000, 0.0000)  1.03
Pa (0.5000, 0.5000, 0.0000)  1.03
Sr (0.5600, 0.1795, 0.5000)  0.00
Sr (0.0600, 0.3205, 0.5000)  0.00
Sr (0.9400, 0.6795, 0.5000)  0.00
Sr (0.4400, 0.8205, 0.5000)  0.00

Calculated values
electronic total energy: -7.555 eV/atom
symmetry: No. 55
magnetization: 2.0 Bohr magnetons per cell

# 3
Below is LiAgMoSeS2 after structural relaxation, with properties calculated at the PBE-GGA level.

a = 6.7640 Å, b = 6.7640 Å, c = 10.0622 Å
α = 90.00°, β = 90.00°, γ = 150.86°
Last column: magnetic moment on the atom in μB.
Sites, in units of the cell vectors:
Ag (0.5770, 0.4230, 0.2500)  0.04
Ag (0.4230, 0.5770, 0.7500)  0.04
Li (0.2545, 0.7455, 0.2500)  0.01
Li (0.7455, 0.2545, 0.7500)  0.01
Mo (0.0000, 0.0000, 0.0000)  1.21
Mo (0.0000, 0.0000, 0.5000)  1.22
S (0.6357, 0.3643, 0.0246)  0.01
S (0.6357, 0.3643, 0.4754)  0.01
S (0.3643, 0.6357, 0.5246)  0.01
S (0.3643, 0.6357, 0.9754)  0.01
Se (0.9131, 0.0869, 0.2500)  -0.05
Se (0.0869, 0.9131, 0.7500)  -0.05

Calculated values
electronic total energy: -4.905 eV/atom
symmetry: No. 63
magnetization: 2.9 Bohr magnetons per cell

# 4
Below is Er3Mg3Cd2Ga after structural relaxation, with properties calculated at the PBE-GGA level.

a = 7.5563 Å, b = 7.5563 Å, c = 4.3817 Å
α = 90.00°, β = 90.00°, γ = 120.00°
Sites, in units of the cell vectors:
Cd (0.6667, 0.3333, 0.5000)
Cd (0.3333, 0.6667, 0.5000)
Er (0.5903, 0.0000, 0.0000)
Er (0.4097, 0.4097, 0.0000)
Er (0.0000, 0.5903, 0.0000)
Ga (0.0000, 0.0000, 0.0000)
Mg (0.2376, 0.0000, 0.5000)
Mg (0.0000, 0.2376, 0.5000)
Mg (0.7624, 0.7624, 0.5000)

Calculated values
electronic total energy: -2.865 eV/atom
symmetry: No. 189
magnetization: 0.0 Bohr magnetons per cell